Entry 1:
## PmZnBiIr (PBE-GGA)

Data for a geometry-optimized PmZnBiIr structure.

a b c (Å): 4.968 4.968 4.968
angles (deg): 60.00 60.00 60.00
Fractional positions:
1 Pm 0.250 0.250 0.250
2 Zn 0.000 0.000 0.000
3 Ir 0.500 0.500 0.500
4 Bi 0.750 0.750 0.750

Values from the calculation:
Crystal system: cubic
Space group: F-43m
Energy of formation from the pure elements, eV/atom: -0.258

Entry 2:
## Pr3BiIr (PBE-GGA)

Data for a geometry-optimized Pr3BiIr structure.

a b c (Å): 4.609 8.281 8.842
angles (deg): 113.53 90.00 90.00
Fractional positions:
1 Pr 0.750 0.677 0.410
2 Ir 0.750 0.078 0.600
3 Pr 0.250 0.323 0.590
4 Bi 0.250 0.328 0.202
5 Pr 0.750 0.043 0.246
6 Pr 0.250 0.668 0.076
7 Bi 0.750 0.672 0.798
8 Ir 0.250 0.922 0.400
9 Pr 0.750 0.332 0.924
10 Pr 0.250 0.957 0.754

Values from the calculation:
Crystal system: monoclinic
Space group: P2_1/m
Energy of formation from the pure elements, eV/atom: -0.650

Entry 3:
## Pr5Bi5Ir (PBE-GGA)

Data for a geometry-optimized Pr5Bi5Ir structure.

a b c (Å): 6.417 7.640 10.088
angles (deg): 116.91 90.00 114.83
Fractional positions:
1 Pr 0.500 0.000 0.000
2 Bi 0.389 0.779 0.220
3 Pr 0.147 0.293 0.877
4 Bi 0.000 0.000 0.500
5 Ir 0.000 0.000 0.000
6 Pr 0.853 0.707 0.123
7 Pr 0.189 0.378 0.299
8 Bi 0.728 0.456 0.337
9 Pr 0.811 0.622 0.701
10 Bi 0.272 0.544 0.663
11 Bi 0.611 0.221 0.780

Values from the calculation:
Crystal system: monoclinic
Space group: C2/m
Energy of formation from the pure elements, eV/atom: -0.551